No. 1
## NaErZn (GGA-PBE)

Data for a relaxed NaErZn crystal.

abc: 4.9576 4.9576 4.9576
angles: 60.00 60.00 60.00
Fractional coordinates of all 3 atoms:
Zn1 0.7500 0.7500 0.7500
Na1 0.2500 0.2500 0.2500
Er1 0.0000 0.0000 0.0000

- V (Å³/f.u.) = 86.2
- total magnetic moment (μB per cell) = 0.21
- ρ (g/cm3) = 4.9
- excess energy over the best structure of this formula in the dataset (meV per atom) = 330.3

=====

No. 2
## HoAgGe (GGA-PBE)

Data for a relaxed HoAgGe crystal.

abc: 7.3178 7.3178 4.1311
angles: 90.00 90.00 120.00
Fractional coordinates of all 9 atoms:
Ge1 0.7335 0.7335 0.0000
Ge2 0.2665 0.0000 0.0000
Ge3 0.0000 0.2665 0.0000
Ho1 0.0000 0.6021 0.5000
Ho2 0.6021 0.0000 0.5000
Ho3 0.3979 0.3979 0.5000
Ag1 0.0000 0.0000 0.5000
Ag2 0.6667 0.3333 0.0000
Ag3 0.3333 0.6667 0.0000

- V (Å³/f.u.) = 63.9
- electronic total energy (hartree per atom) = -0.1626
- total magnetic moment (μB per cell) = 0.00
- ρ (g/cm3) = 9.0

=====

No. 3
## Cu4SiP8 (GGA-PBE)

Data for a relaxed Cu4SiP8 crystal.

abc: 5.7333 9.0777 9.0777
angles: 95.72 71.59 108.41
Fractional coordinates of all 26 atoms:
P1 0.9188 0.1754 0.1313
P2 0.5422 0.7781 0.4534
P3 0.0501 0.1313 0.3246
P4 0.0045 0.5466 0.2781
P5 0.6252 0.6754 0.6313
P6 0.7435 0.3687 0.1754
P7 0.7174 0.7219 0.0466
P8 0.0812 0.8246 0.8687
P9 0.9499 0.8687 0.6754
P10 0.9955 0.4534 0.7219
P11 0.4578 0.2219 0.5466
P12 0.2565 0.6313 0.8246
P13 0.7640 0.0466 0.7781
P14 0.2826 0.2781 0.9534
P15 0.2360 0.9534 0.2219
P16 0.3748 0.3246 0.3687
Cu1 0.7023 0.0604 0.5378
Cu2 0.7599 0.4622 0.5604
Cu3 0.2977 0.9396 0.4622
Cu4 0.3203 0.5604 0.0378
Cu5 0.6797 0.4396 0.9622
Cu6 0.3581 0.0378 0.9396
Cu7 0.2401 0.5378 0.4396
Cu8 0.6419 0.9622 0.0604
Si1 0.1250 0.2500 0.7500
Si2 0.8750 0.7500 0.2500

- V (Å³/f.u.) = 212.7
- electronic total energy (hartree per atom) = -0.1845
- ρ (g/cm3) = 4.1